Compound: LaFe2W2
Source: Alexandria
Functional: PBE
Structure: relaxed

Unit cell a=7.6047 b=7.6047 c=2.7982 alpha=90.00 beta=90.00 gamma=90.00
Last column: nearest neighbours and their distance in Å.
Sites, in units of the cell vectors:
1 La 0.0000 0.0000 0.0000  2 La 2.80, 4 W 2.90
2 La 0.5000 0.5000 0.0000  2 La 2.80, 4 W 2.90
3 Fe 0.1321 0.3679 0.5000  6 W 2.56-2.73, 3 Fe 2.80-2.84
4 Fe 0.3679 0.8679 0.5000  6 W 2.56-2.73, 3 Fe 2.80-2.84
5 Fe 0.6321 0.1321 0.5000  6 W 2.56-2.73, 3 Fe 2.80-2.84
6 Fe 0.8679 0.6321 0.5000  6 W 2.56-2.73, 3 Fe 2.80-2.84
7 W 0.1496 0.6496 0.0000  6 Fe 2.56-2.73, 2 W 2.80
8 W 0.3504 0.1496 0.0000  6 Fe 2.56-2.73, 2 W 2.80
9 W 0.6496 0.8504 0.0000  6 Fe 2.56-2.73, 2 W 2.80
10 W 0.8504 0.3504 0.0000  6 Fe 2.56-2.73, 2 W 2.80

VASP energy: -9.11 eV/atom
Fermi-level density of states: 1.022 states/eV/atom
size of the total moment: 0.000 μB per atom
calculated formation energy: 0.44 eV/atom
distance to the lowest polymorph of the same formula: 0.289 eV per atom